Record 1
! GGA-PBE Te3MoN, optimized geometry; values from VASP
&SYSTEM
  ibrav = 0, nat = 5, ntyp = 3
/
ATOMIC_SPECIES
Mo 95.94 Mo.upf
Te 127.60 Te.upf
N 14.01 N.upf
ATOMIC_POSITIONS angstrom
Mo 0.000 0.000 0.000
Te 0.000 2.598 0.000
Te 0.000 0.000 2.598
Te 2.598 0.000 0.000
N 2.598 2.598 2.598
CELL_PARAMETERS angstrom
5.195 0.000 0.000
0.000 5.195 0.000
0.000 0.000 5.195
! Polymorph energy (0 for the lowest one) (kJ/mol of atoms): 50.3
! V (Å³/atom): 28.044
! Magnetic moment (μB/f.u.): 0.00
! ΔE_f (raw) (eV/f.u.): 7.9



Record 2
! GGA-PBE AcCeLuCd, optimized geometry; values from VASP
&SYSTEM
  ibrav = 0, nat = 4, ntyp = 4
/
ATOMIC_SPECIES
Ac 227.00 Ac.upf
Lu 174.97 Lu.upf
Ce 140.12 Ce.upf
Cd 112.41 Cd.upf
ATOMIC_POSITIONS angstrom
Ac 8.394 4.846 3.427
Lu 0.000 0.000 0.000
Ce 5.596 3.231 2.285
Cd 2.798 1.615 1.142
CELL_PARAMETERS angstrom
5.596 0.000 0.000
2.798 4.846 0.000
2.798 1.615 4.569
! Uncorrected energy (eV per atom): -3.73
! V (Å³/atom): 30.982
! Magnetic moment (μB/f.u.): 1.90



Record 3
! GGA-PBE GeAsAuSe2, optimized geometry; values from VASP
&SYSTEM
  ibrav = 0, nat = 5, ntyp = 4
/
ATOMIC_SPECIES
As 74.92 As.upf
Au 196.97 Au.upf
Ge 72.64 Ge.upf
Se 78.96 Se.upf
ATOMIC_POSITIONS angstrom
As 0.000 0.000 2.420
Au 0.000 0.000 0.000
Ge 2.600 2.600 2.420
Se 0.000 2.600 0.000
Se 2.600 0.000 0.000
CELL_PARAMETERS angstrom
5.199 0.000 0.000
0.000 5.199 0.000
0.000 0.000 4.840
! Polymorph energy (0 for the lowest one) (kJ/mol of atoms): 0.0
! V (Å³/atom): 26.167
! Magnetic moment (μB/f.u.): 0.00
! ΔE_f (raw) (eV/f.u.): 3.5



Record 4
! GGA-PBE Zr2SbPb, optimized geometry; values from VASP
&SYSTEM
  ibrav = 0, nat = 8, ntyp = 3
/
ATOMIC_SPECIES
Pb 207.20 Pb.upf
Sb 121.76 Sb.upf
Zr 91.22 Zr.upf
ATOMIC_POSITIONS angstrom
Pb 0.000 0.000 0.000
Pb -5.870 -1.816 -5.235
Sb -1.334 -1.686 -4.129
Sb -3.581 -5.774 -4.358
Zr -3.832 -0.346 -3.857
Zr -1.561 -4.293 -3.004
Zr -6.086 -4.442 -4.106
Zr -7.425 -6.101 -8.219
CELL_PARAMETERS angstrom
-3.623 2.272 -5.006
0.955 -5.644 -3.252
-6.783 -4.218 -1.335
! Polymorph energy (0 for the lowest one) (kJ/mol of atoms): 77.5
! V (Å³/atom): 35.905
! Magnetic moment (μB/f.u.): 0.00
! ΔE_f (raw) (eV/f.u.): 1.8



Record 5
! GGA-PBE Si2AsAu, optimized geometry; values from VASP
&SYSTEM
  ibrav = 0, nat = 4, ntyp = 3
/
ATOMIC_SPECIES
As 74.92 As.upf
Au 196.97 Au.upf
Si 28.09 Si.upf
ATOMIC_POSITIONS angstrom
As 1.380 0.000 2.506
Au 0.000 2.517 2.506
Si 0.000 0.000 0.000
Si 1.380 2.517 0.000
CELL_PARAMETERS angstrom
2.761 0.000 0.000
0.000 5.034 0.000
0.000 0.000 5.012
! V (Å³/atom): 17.410
! Magnetic moment (μB/f.u.): 0.00
! ΔE_f (raw) (eV/f.u.): 1.7



Record 6
! GGA-PBE Pa2NbGe3Ir4, optimized geometry; values from VASP
&SYSTEM
  ibrav = 0, nat = 10, ntyp = 4
/
ATOMIC_SPECIES
Pa 231.04 Pa.upf
Nb 92.91 Nb.upf
Ge 72.64 Ge.upf
Ir 192.22 Ir.upf
ATOMIC_POSITIONS angstrom
Pa 0.504 2.307 2.269
Pa -0.319 0.849 8.459
Nb -0.926 2.616 5.473
Ge 1.112 0.540 5.255
Ge 1.911 2.990 8.920
Ge -1.726 0.166 1.808
Ir -2.038 2.076 0.218
Ir 0.000 0.000 0.000
Ir 1.412 2.747 6.558
Ir -1.226 0.409 4.170
CELL_PARAMETERS angstrom
-0.039 4.104 -0.413
-4.037 0.047 0.849
2.224 1.080 10.510
! Uncorrected energy (eV per atom): -8.51
! V (Å³/atom): 18.374
! Magnetic moment (μB/f.u.): 0.00



Record 7
! GGA-PBE Sc3Ag2, optimized geometry; values from VASP
&SYSTEM
  ibrav = 0, nat = 10, ntyp = 2
/
ATOMIC_SPECIES
Sc 44.96 Sc.upf
Ag 107.87 Ag.upf
ATOMIC_POSITIONS angstrom
Sc 3.381 5.207 5.855
Sc 3.381 4.757 8.942
Sc 4.804 7.698 12.641
Sc 4.804 7.248 9.554
Sc 0.520 4.982 7.398
Sc 1.944 2.491 3.699
Ag 2.053 2.643 6.661
Ag 2.053 7.321 8.135
Ag 3.476 5.134 11.834
Ag 3.476 4.830 2.962
CELL_PARAMETERS angstrom
0.000 4.982 7.398
2.847 0.000 7.398
2.847 4.982 0.000
! Polymorph energy (0 for the lowest one) (kJ/mol of atoms): 10.4
! V (Å³/atom): 20.986
! Magnetic moment (μB/f.u.): 0.00



Record 8
! GGA-PBE ZrOs2Cl, optimized geometry; values from VASP
&SYSTEM
  ibrav = 0, nat = 4, ntyp = 3
/
ATOMIC_SPECIES
Cl 35.45 Cl.upf
Os 190.23 Os.upf
Zr 91.22 Zr.upf
ATOMIC_POSITIONS angstrom
Cl -10.600 17.806 5.584
Os -13.779 23.146 7.259
Os -3.525 5.921 1.857
Zr -6.923 11.629 3.647
CELL_PARAMETERS angstrom
-3.463 8.743 1.680
-5.996 7.267 1.578
-4.471 7.391 4.080
! Polymorph energy (0 for the lowest one) (kJ/mol of atoms): 14.1
! V (Å³/atom): 17.515
! Magnetic moment (μB/f.u.): 0.00
! ΔE_f (raw) (eV/f.u.): 0.5



Record 9
! GGA-PBE SrLi2HfP, optimized geometry; values from VASP
&SYSTEM
  ibrav = 0, nat = 5, ntyp = 4
/
ATOMIC_SPECIES
Sr 87.62 Sr.upf
Li 6.94 Li.upf
Hf 178.49 Hf.upf
P 30.97 P.upf
ATOMIC_POSITIONS angstrom
Sr 0.000 0.000 0.000
Li 0.000 0.000 2.246
Li 2.246 0.000 0.000
Hf 2.246 2.675 2.246
P 0.000 2.675 0.000
CELL_PARAMETERS angstrom
4.493 0.000 0.000
0.000 5.351 0.000
0.000 0.000 4.493
! Uncorrected energy (eV per atom): -3.16
! V (Å³/atom): 21.601
! Magnetic moment (μB/f.u.): 0.00



Record 10
! GGA-PBE SiRu2Cl, optimized geometry; values from VASP
&SYSTEM
  ibrav = 0, nat = 4, ntyp = 3
/
ATOMIC_SPECIES
Cl 35.45 Cl.upf
Ru 101.07 Ru.upf
Si 28.09 Si.upf
ATOMIC_POSITIONS angstrom
Cl 1.276 1.731 1.232
Ru 6.564 4.774 0.000
Ru 3.383 2.461 0.000
Si 3.030 -0.681 1.230
CELL_PARAMETERS angstrom
5.070 0.000 -0.002
1.561 4.824 0.002
-2.325 -3.774 2.462
! Polymorph energy (0 for the lowest one) (kJ/mol of atoms): 38.9
! V (Å³/atom): 15.061
! Magnetic moment (μB/f.u.): 0.00
! ΔE_f (raw) (eV/f.u.): 1.4



Record 11
! GGA-PBE PmNdNpN3, optimized geometry; values from VASP
&SYSTEM
  ibrav = 0, nat = 12, ntyp = 4
/
ATOMIC_SPECIES
Pm 145.00 Pm.upf
Nd 144.24 Nd.upf
Np 237.00 Np.upf
N 14.01 N.upf
ATOMIC_POSITIONS angstrom
Pm 2.748 4.531 8.126
Pm 0.916 0.896 1.222
Nd 0.916 4.218 1.954
Nd 2.748 1.209 7.395
Np 0.916 -0.704 4.991
Np 2.748 6.131 4.357
N 0.916 4.953 4.313
N 2.748 6.321 2.169
N 2.748 2.556 1.364
N 2.748 0.473 5.035
N 0.916 2.871 7.984
N 0.916 -0.894 7.180
CELL_PARAMETERS angstrom
3.664 0.000 0.000
0.000 7.326 0.966
0.000 -1.900 8.382
! V (Å³/atom): 19.314
! Magnetic moment (μB/f.u.): 1.07
! ΔE_f (raw) (eV/f.u.): -5.9



Record 12
! GGA-PBE Zr3Mn, optimized geometry; values from VASP
&SYSTEM
  ibrav = 0, nat = 8, ntyp = 2
/
ATOMIC_SPECIES
Zr 91.22 Zr.upf
Mn 54.94 Mn.upf
ATOMIC_POSITIONS angstrom
Zr -0.938 2.198 4.405
Zr -4.832 -3.203 0.844
Zr -3.556 1.400 3.241
Zr -2.213 -2.406 2.008
Zr -1.030 0.343 2.081
Zr -4.740 -1.349 3.167
Mn -3.843 -0.646 0.666
Mn -1.927 -0.360 4.582
CELL_PARAMETERS angstrom
0.203 4.110 5.148
-5.801 -1.768 -2.579
-0.171 -3.348 2.679
! Uncorrected energy (eV per atom): -8.49
! V (Å³/atom): 20.176
! Magnetic moment (μB/f.u.): 0.00